Compound: LiZnTe
Source: the Alexandria database
Functional: GGA-PBE
Structure: relaxed

Cell: 6.615 6.615 6.615 Å, 151.05 151.05 41.40°
Atoms (fractional coordinates):
Li 0.000 0.000 0.000
Zn 0.658 0.658 0.000
Te 0.339 0.339 0.000

## Properties
* calculated density: 4.906 Mg/m³
* excess energy over the best structure of this formula in the dataset: 0.2022 eV/atom
* formation energy without anion corrections: -13.3 kJ per mole of atoms

---

Compound: LiZnTe
Source: the Alexandria database
Functional: GGA-PBE
Structure: relaxed

Cell: 4.075 4.075 4.312 Å, 106.98 106.98 82.52°
Atoms (fractional coordinates):
Li 0.000 0.000 0.000
Zn 0.341 0.341 0.630
Te 0.668 0.668 0.310

## Properties
* calculated density: 5.076 Mg/m³
* excess energy over the best structure of this formula in the dataset: 0.0235 eV/atom
* formation energy without anion corrections: -30.5 kJ per mole of atoms

---

Compound: LiZnTe4
Source: the Alexandria database
Functional: GGA-PBE
Structure: relaxed

Cell: 6.445 6.445 6.445 Å, 60.00 60.00 60.00°
Atoms (fractional coordinates):
Li 0.000 0.000 0.000
Zn 0.250 0.250 0.250
Te 0.128 0.624 0.624
Te 0.624 0.128 0.624
Te 0.624 0.624 0.128
Te 0.624 0.624 0.624

## Properties
* calculated density: 5.111 Mg/m³
* formation energy without anion corrections: 17.3 kJ per mole of atoms